1.
Material: RbScCdO3
Method: DFT, PBE
State: optimized geometry

Computed properties:
V: 203.4 Å³ per cell
E_tot: -5.81 eV/atom

a b c (Å): 7.0644 7.0644 8.8543
angles (deg): 90.00 90.00 152.59
Closest atoms and distances in Å follow each position.
Positions (direct):
Rb 0.1867 0.8133 0.7500  4 O 2.63-2.84
Rb 0.8133 0.1867 0.2500  4 O 2.63-2.84
Sc 0.5000 0.5000 0.0000  6 O 2.17-2.23
Sc 0.5000 0.5000 0.5000  6 O 2.17-2.23
Cd 0.0942 0.9058 0.2500  4 O 2.08-2.29
Cd 0.9058 0.0942 0.7500  4 O 2.08-2.29
O 0.1003 0.8997 0.0156  1 Cd 2.08, 2 Sc 2.17
O 0.1003 0.8997 0.4844  1 Cd 2.08, 2 Sc 2.17
O 0.4802 0.5198 0.2500  2 Sc 2.23, 2 Cd 2.29
O 0.5198 0.4802 0.7500  2 Sc 2.23, 2 Cd 2.29
O 0.8997 0.1003 0.5155  1 Cd 2.08, 2 Sc 2.17
O 0.8997 0.1003 0.9844  1 Cd 2.08, 2 Sc 2.17

2.
Material: Rb2CdSiO4
Method: DFT, PBE
State: optimized geometry

Computed properties:
V: 1042.9 Å³ per cell
E_tot: -5.48 eV/atom

a b c (Å): 7.9033 7.9033 16.7126
angles (deg): 90.00 90.00 92.46
Closest atoms and distances in Å follow each position.
Positions (direct):
Rb 0.0513 0.5531 0.2630  4 O 2.78-3.09
Rb 0.0554 0.0554 0.0000  6 O 2.81-3.10
Rb 0.2429 0.2547 0.6089  6 O 2.83-3.06
Rb 0.2428 0.7448 0.6410  8 O 2.85-3.12
Rb 0.2547 0.2429 0.3911  6 O 2.83-3.06
Rb 0.2552 0.7572 0.8590  8 O 2.85-3.12
Rb 0.4469 0.9487 0.2370  4 O 2.78-3.09
Rb 0.4559 0.4559 0.0000  6 O 2.81-3.00
Rb 0.5441 0.5441 0.5000  6 O 2.81-3.00
Rb 0.5531 0.0513 0.7370  4 O 2.78-3.09
Rb 0.7448 0.2428 0.3590  8 O 2.85-3.12
Rb 0.7453 0.7571 0.8911  6 O 2.83-3.06
Rb 0.7572 0.2552 0.1410  8 O 2.85-3.12
Rb 0.7571 0.7453 0.1089  6 O 2.83-3.06
Rb 0.9446 0.9446 0.5000  6 O 2.81-3.10
Rb 0.9487 0.4469 0.7630  4 O 2.78-3.09
Cd 0.2292 0.7273 0.0940  4 O 2.18-2.28
Cd 0.2516 0.2719 0.1569  4 O 2.19-2.27
Cd 0.2719 0.2516 0.8431  4 O 2.19-2.27
Cd 0.2727 0.7708 0.4060  4 O 2.18-2.28
Cd 0.7273 0.2292 0.9060  4 O 2.18-2.28
Cd 0.7281 0.7484 0.3431  4 O 2.19-2.27
Cd 0.7484 0.7281 0.6569  4 O 2.19-2.27
Cd 0.7708 0.2727 0.5940  4 O 2.18-2.28
Si 0.0130 0.4906 0.9949  4 O 1.64-1.67
Si 0.0138 0.9862 0.2500  4 O 1.65-1.66
Si 0.4906 0.0130 0.0051  4 O 1.64-1.67
Si 0.4944 0.5056 0.2500  4 O 1.65
Si 0.5056 0.4944 0.7500  4 O 1.65
Si 0.5094 0.9870 0.5051  4 O 1.64-1.67
Si 0.9862 0.0138 0.7500  4 O 1.65-1.66
Si 0.9870 0.5094 0.4949  4 O 1.64-1.67
O 0.0364 0.6998 0.9928  1 Si 1.66
O 0.0493 0.1943 0.2438  1 Si 1.66
O 0.0853 0.8960 0.1684  1 Si 1.65
O 0.0865 0.4340 0.0841  1 Si 1.67
O 0.1040 0.9147 0.3316  1 Si 1.65
O 0.1194 0.4062 0.9218  1 Si 1.64
O 0.1909 0.5614 0.4884  1 Si 1.65
O 0.1943 0.0493 0.7562  1 Si 1.66
O 0.2987 0.4555 0.7475  1 Si 1.65
O 0.3002 0.9636 0.5072  1 Si 1.66
O 0.4026 0.5757 0.1683  1 Si 1.65
O 0.4062 0.1194 0.0782  1 Si 1.64
O 0.4243 0.5974 0.3317  1 Si 1.65
O 0.4340 0.0865 0.9159  1 Si 1.67
O 0.4386 0.8091 0.0116  1 Si 1.65
O 0.4555 0.2987 0.2525  1 Si 1.65
O 0.5445 0.7013 0.7525  1 Si 1.65
O 0.5614 0.1909 0.5116  1 Si 1.65
O 0.5660 0.9135 0.4159  1 Si 1.67
O 0.5757 0.4026 0.8317  1 Si 1.65
O 0.5938 0.8806 0.5782  1 Si 1.64
O 0.5974 0.4243 0.6683  1 Si 1.65
O 0.6998 0.0364 0.0072  1 Si 1.66
O 0.7013 0.5445 0.2475  1 Si 1.65
O 0.8057 0.9507 0.2562  1 Si 1.66
O 0.8091 0.4386 0.9884  1 Si 1.65
O 0.8806 0.5938 0.4218  1 Si 1.64
O 0.8960 0.0853 0.8316  1 Si 1.65
O 0.9135 0.5660 0.5841  1 Si 1.67
O 0.9147 0.1040 0.6684  1 Si 1.65
O 0.9507 0.8057 0.7438  1 Si 1.66
O 0.9636 0.3002 0.4928  1 Si 1.66

3.
Material: RbTbCdO3
Method: DFT, PBE
State: optimized geometry

Computed properties:
V: 224.4 Å³ per cell
E_tot: -5.58 eV/atom

a b c (Å): 6.9932 6.9932 9.2298
angles (deg): 90.00 90.00 150.19
Closest atoms and distances in Å follow each position.
Positions (direct):
Rb 0.1898 0.8102 0.7500  4 O 2.77-2.89
Rb 0.8102 0.1898 0.2500  4 O 2.77-2.89
Tb 0.5000 0.5000 0.0000  6 O 2.33
Tb 0.5000 0.5000 0.5000  6 O 2.33
Cd 0.0892 0.9108 0.2500  2 O 2.09
Cd 0.9108 0.0892 0.7500  2 O 2.09
O 0.1083 0.8917 0.0248  1 Cd 2.09, 2 Tb 2.33
O 0.1083 0.8917 0.4752  1 Cd 2.09, 2 Tb 2.33
O 0.4778 0.5222 0.2500  2 Tb 2.33, 2 Cd 2.35
O 0.5222 0.4778 0.7500  2 Tb 2.33, 2 Cd 2.35
O 0.8917 0.1083 0.5248  1 Cd 2.09, 2 Tb 2.33
O 0.8917 0.1083 0.9752  1 Cd 2.09, 2 Tb 2.33

4.
Material: Rb2CdTeO6
Method: DFT, PBE
State: optimized geometry

Computed properties:
V: 149.6 Å³ per cell
E_tot: -4.55 eV/atom

a b c (Å): 5.9583 5.9583 5.9583
angles (deg): 60.00 60.00 60.00
Closest atoms and distances in Å follow each position.
Positions (direct):
Rb 0.2500 0.2500 0.2500  12 O 2.98
Rb 0.7500 0.7500 0.7500  12 O 2.98
Cd 0.0000 0.0000 0.0000  6 O 2.29
Te 0.5000 0.5000 0.5000  6 O 1.93
O 0.2713 0.2713 0.7287  1 Te 1.93
O 0.2713 0.7287 0.2713  1 Te 1.93
O 0.2713 0.7287 0.7287  1 Te 1.93
O 0.7287 0.2713 0.2713  1 Te 1.93
O 0.7287 0.2713 0.7287  1 Te 1.93
O 0.7287 0.7287 0.2713  1 Te 1.93

5.
Material: RbTmCdO3
Method: DFT, PBE
State: optimized geometry

Computed properties:
V: 217.5 Å³ per cell
E_tot: -5.59 eV/atom

a b c (Å): 7.0284 7.0284 9.0821
angles (deg): 90.00 90.00 151.01
Closest atoms and distances in Å follow each position.
Positions (direct):
Rb 0.1886 0.8114 0.7500  4 O 2.71-2.89
Rb 0.8114 0.1886 0.2500  4 O 2.71-2.89
Tm 0.5000 0.5000 0.0000  6 O 2.28-2.29
Tm 0.5000 0.5000 0.5000  6 O 2.28-2.29
Cd 0.0923 0.9077 0.2500  4 O 2.09-2.34
Cd 0.9077 0.0923 0.7500  4 O 2.09-2.34
O 0.1055 0.8945 0.0212  1 Cd 2.09, 2 Tm 2.28
O 0.1055 0.8945 0.4788  1 Cd 2.09, 2 Tm 2.28
O 0.4795 0.5205 0.2500  2 Tm 2.29, 2 Cd 2.34
O 0.5205 0.4795 0.7500  2 Tm 2.29, 2 Cd 2.34
O 0.8945 0.1055 0.5212  1 Cd 2.09, 2 Tm 2.28
O 0.8945 0.1055 0.9788  1 Cd 2.09, 2 Tm 2.28

6.
Material: RbYCdO3
Method: DFT, PBE
State: optimized geometry

Computed properties:
V: 223.9 Å³ per cell
E_tot: -5.88 eV/atom

a b c (Å): 7.0187 7.0187 9.2057
angles (deg): 90.00 90.00 150.42
Closest atoms and distances in Å follow each position.
Positions (direct):
Rb 0.1889 0.8111 0.7500  4 O 2.75-2.90
Rb 0.8111 0.1889 0.2500  4 O 2.75-2.90
Y 0.5000 0.5000 0.0000  6 O 2.32
Y 0.5000 0.5000 0.5000  6 O 2.32
Cd 0.0903 0.9097 0.2500  2 O 2.09
Cd 0.9097 0.0903 0.7500  2 O 2.09
O 0.1077 0.8923 0.0241  1 Cd 2.09, 2 Y 2.32
O 0.1077 0.8923 0.4759  1 Cd 2.09, 2 Y 2.32
O 0.4788 0.5212 0.2500  2 Y 2.32, 2 Cd 2.35
O 0.5212 0.4788 0.7500  2 Y 2.32, 2 Cd 2.35
O 0.8923 0.1077 0.5241  1 Cd 2.09, 2 Y 2.32
O 0.8923 0.1077 0.9759  1 Cd 2.09, 2 Y 2.32

7.
Material: CdRe2O6
Method: DFT, PBE
State: optimized geometry

Computed properties:
V: 111.8 Å³ per cell
E_tot: -7.41 eV/atom

a b c (Å): 5.2227 5.2227 4.7348
angles (deg): 90.00 90.00 120.00
Closest atoms and distances in Å follow each position.
Positions (direct):
Cd 0.0000 0.0000 0.0000  6 O 2.31
Re 0.3333 0.6667 0.5000  6 O 1.97
Re 0.6667 0.3333 0.5000  6 O 1.97
O 0.0000 0.3647 0.2759  2 Re 1.97
O 0.0000 0.6353 0.7241  2 Re 1.97
O 0.3647 0.0000 0.2759  2 Re 1.97
O 0.3647 0.3647 0.7241  2 Re 1.97
O 0.6353 0.0000 0.7241  2 Re 1.97
O 0.6353 0.6353 0.2759  2 Re 1.97

8.
Material: Cd2Re2O7
Method: DFT, PBE
State: optimized geometry

Computed properties:
V: 270.6 Å³ per cell
E_tot: -6.87 eV/atom

a b c (Å): 7.2605 7.2605 7.2605
angles (deg): 60.00 60.00 60.00
Closest atoms and distances in Å follow each position.
Positions (direct):
Cd 0.0000 0.0000 0.0000  2 O 2.22
Cd 0.0000 0.0000 0.5000  2 O 2.22
Cd 0.0000 0.5000 0.0000  2 O 2.22
Cd 0.5000 0.0000 0.0000  2 O 2.22
Re 0.0000 0.5000 0.5000  6 O 1.94
Re 0.5000 0.0000 0.5000  6 O 1.94
Re 0.5000 0.5000 0.0000  6 O 1.94
Re 0.5000 0.5000 0.5000  6 O 1.94
O 0.1250 0.1250 0.1250  4 Cd 2.22
O 0.1829 0.1829 0.5671  2 Re 1.94
O 0.1829 0.5671 0.1829  2 Re 1.94
O 0.1829 0.5671 0.5671  2 Re 1.94
O 0.4329 0.4329 0.8171  2 Re 1.94
O 0.4329 0.8171 0.4329  2 Re 1.94
O 0.4329 0.8171 0.8171  2 Re 1.94
O 0.5671 0.1829 0.1829  2 Re 1.94
O 0.5671 0.1829 0.5671  2 Re 1.94
O 0.5671 0.5671 0.1829  2 Re 1.94
O 0.8171 0.4329 0.4329  2 Re 1.94
O 0.8171 0.4329 0.8171  2 Re 1.94
O 0.8171 0.8171 0.4329  2 Re 1.94
O 0.8750 0.8750 0.8750  4 Cd 2.22

9.
Material: Cd2Re3O8
Method: DFT, PBE
State: optimized geometry

Computed properties:
V: 153.9 Å³ per cell
E_tot: -7.29 eV/atom

a b c (Å): 6.4281 6.4281 4.8563
angles (deg): 104.07 104.07 52.82
Closest atoms and distances in Å follow each position.
Positions (direct):
Cd 0.2217 0.2217 0.1683  6 O 2.18-2.36
Cd 0.7783 0.7783 0.8317  6 O 2.18-2.36
Re 0.2786 0.7214 0.5000  6 O 2.00-2.09
Re 0.5000 0.5000 0.0000  6 O 2.03-2.11
Re 0.7214 0.2786 0.5000  6 O 2.00-2.09
O 0.0912 0.0912 0.4191  2 Re 2.00, 1 Cd 2.18
O 0.1565 0.6110 0.1080  2 Re 2.01-2.03, 1 Cd 2.20
O 0.3722 0.3722 0.5959  3 Re 2.09-2.11, 1 Cd 2.32
O 0.3890 0.8435 0.8920  2 Re 2.01-2.03, 1 Cd 2.20
O 0.6110 0.1565 0.1080  2 Re 2.01-2.03, 1 Cd 2.20
O 0.6278 0.6278 0.4041  3 Re 2.09-2.11, 1 Cd 2.32
O 0.8435 0.3890 0.8920  2 Re 2.01-2.03, 1 Cd 2.20
O 0.9088 0.9088 0.5809  2 Re 2.00, 1 Cd 2.18

10.
Material: SrCd3Re4O12
Method: DFT, PBE
State: optimized geometry

Computed properties:
V: 237.1 Å³ per cell
E_tot: -6.96 eV/atom

a b c (Å): 6.7536 6.7536 6.7536
angles (deg): 109.47 109.47 109.47
Closest atoms and distances in Å follow each position.
Positions (direct):
Sr 0.0000 0.0000 0.0000  12 O 2.74
Cd 0.0000 0.5000 0.5000  4 O 2.26
Cd 0.5000 0.0000 0.5000  4 O 2.26
Cd 0.5000 0.5000 0.0000  4 O 2.26
Re 0.0000 0.0000 0.5000  6 O 2.01
Re 0.0000 0.5000 0.0000  6 O 2.01
Re 0.5000 0.0000 0.0000  6 O 2.01
Re 0.5000 0.5000 0.5000  6 O 2.01
O 0.0899 0.8002 0.2897  2 Re 2.01
O 0.1998 0.2897 0.4895  2 Re 2.01
O 0.1998 0.7103 0.9101  2 Re 2.01
O 0.2897 0.0899 0.8002  2 Re 2.01
O 0.2897 0.4895 0.1998  2 Re 2.01
O 0.4895 0.1998 0.2897  2 Re 2.01
O 0.5105 0.8002 0.7103  2 Re 2.01
O 0.7103 0.5105 0.8002  2 Re 2.01
O 0.7103 0.9101 0.1998  2 Re 2.01
O 0.8002 0.2897 0.0899  2 Re 2.01
O 0.8002 0.7103 0.5105  2 Re 2.01
O 0.9101 0.1998 0.7103  2 Re 2.01

11.
Material: CdSO4
Method: DFT, PBE
State: optimized geometry

Computed properties:
V: 131.6 Å³ per cell
E_tot: -5.42 eV/atom

a b c (Å): 6.7464 6.7464 6.7464
angles (deg): 138.87 138.87 59.58
Closest atoms and distances in Å follow each position.
Positions (direct):
Cd 0.3750 0.1250 0.2500  8 O 2.35-2.52
Cd 0.6250 0.8750 0.7500  8 O 2.35-2.52
S 0.1250 0.3750 0.7500  4 O 1.49
S 0.8750 0.6250 0.2500  4 O 1.49
O 0.0744 0.2142 0.3975  1 S 1.49
O 0.1770 0.5744 0.3602  1 S 1.49
O 0.2858 0.1832 0.8602  1 S 1.49
O 0.3168 0.6770 0.1025  1 S 1.49
O 0.6832 0.3230 0.8975  1 S 1.49
O 0.7142 0.8168 0.1398  1 S 1.49
O 0.8230 0.4256 0.6398  1 S 1.49
O 0.9256 0.7858 0.6025  1 S 1.49

12.
Material: CdSO4
Method: DFT, PBE
State: optimized geometry

Computed properties:
V: 137.0 Å³ per cell
E_tot: -4.03 eV/atom

a b c (Å): 4.5379 4.5379 7.6843
angles (deg): 90.00 90.00 120.00
Closest atoms and distances in Å follow each position.
Positions (direct):
Cd 0.0000 0.0000 0.0000  6 O 2.25
Cd 0.0000 0.0000 0.5000  12 O 2.46-2.66
S 0.3333 0.6667 0.2491  1 O 1.45
S 0.6667 0.3333 0.7509  1 O 1.45
O 0.1732 0.3463 0.7673  4 O 2.18-2.36, 1 Cd 2.25, 2 S 2.27
O 0.1732 0.8268 0.7673  4 O 2.18-2.36, 1 Cd 2.25, 2 S 2.27
O 0.3333 0.6667 0.4383  1 S 1.45
O 0.3463 0.1732 0.2327  4 O 2.18-2.36, 1 Cd 2.25, 2 S 2.27
O 0.6537 0.8268 0.7673  4 O 2.18-2.36, 1 Cd 2.25, 2 S 2.27
O 0.6667 0.3333 0.5617  1 S 1.45
O 0.8268 0.1732 0.2327  4 O 2.18-2.36, 1 Cd 2.25, 2 S 2.27
O 0.8268 0.6537 0.2327  4 O 2.18-2.36, 1 Cd 2.25, 2 S 2.27

13.
Material: CdSO3
Method: DFT, PBE
State: optimized geometry

Computed properties:
V: 574.0 Å³ per cell
E_tot: -5.19 eV/atom

a b c (Å): 5.5619 12.4365 8.4247
angles (deg): 90.00 99.94 90.00
Closest atoms and distances in Å follow each position.
Positions (direct):
Cd 0.1395 0.2422 0.1382  6 O 2.25-2.35
Cd 0.1395 0.2578 0.6382  6 O 2.25-2.35
Cd 0.3200 0.5810 0.1185  6 O 2.29-2.44
Cd 0.3200 0.9190 0.6185  6 O 2.29-2.44
Cd 0.6800 0.0810 0.3815  6 O 2.29-2.44
Cd 0.6800 0.4190 0.8815  6 O 2.29-2.44
Cd 0.8605 0.7422 0.3618  6 O 2.25-2.35
Cd 0.8605 0.7578 0.8618  6 O 2.25-2.35
S 0.0971 0.5279 0.7422  3 O 1.54-1.56
S 0.0971 0.9721 0.2422  3 O 1.54-1.56
S 0.4575 0.6673 0.5373  3 O 1.54-1.57
S 0.4575 0.8327 0.0373  3 O 1.54-1.57
S 0.5425 0.1673 0.9627  3 O 1.54-1.57
S 0.5425 0.3327 0.4627  3 O 1.54-1.57
S 0.9029 0.0279 0.7578  3 O 1.54-1.56
S 0.9029 0.4721 0.2578  3 O 1.54-1.56
O 0.0031 0.0888 0.2379  1 S 1.54
O 0.0031 0.4112 0.7379  1 S 1.54
O 0.0812 0.0791 0.6546  1 S 1.56
O 0.0812 0.4209 0.1546  1 S 1.56
O 0.2376 0.7469 0.5225  1 S 1.56
O 0.2376 0.7531 0.0225  1 S 1.56
O 0.3212 0.2440 0.9060  1 S 1.57
O 0.3212 0.2560 0.4060  1 S 1.57
O 0.3445 0.5307 0.8593  1 S 1.55
O 0.3445 0.9693 0.3593  1 S 1.55
O 0.4959 0.1437 0.1345  1 S 1.54
O 0.4959 0.3563 0.6345  1 S 1.54
O 0.5041 0.6437 0.3655  1 S 1.54
O 0.5041 0.8563 0.8655  1 S 1.54
O 0.6555 0.0307 0.6407  1 S 1.55
O 0.6555 0.4693 0.1407  1 S 1.55
O 0.6788 0.7440 0.5940  1 S 1.57
O 0.6788 0.7560 0.0940  1 S 1.57
O 0.7624 0.2469 0.9775  1 S 1.56
O 0.7624 0.2531 0.4775  1 S 1.56
O 0.9188 0.5791 0.8454  1 S 1.56
O 0.9188 0.9209 0.3454  1 S 1.56
O 0.9969 0.5888 0.2621  1 S 1.54
O 0.9969 0.9112 0.7621  1 S 1.54

14.
Material: Cd2SO
Method: DFT, PBE
State: optimized geometry

Computed properties:
V: 83.7 Å³ per cell
E_tot: -3.47 eV/atom

a b c (Å): 3.8972 3.8972 6.3604
angles (deg): 90.00 90.00 120.00
Closest atoms and distances in Å follow each position.
Positions (direct):
Cd 0.0000 0.0000 0.0000  3 O 2.32, 1 S 2.55
Cd 0.3333 0.6667 0.5656  1 O 2.21
S 0.0000 0.0000 0.4005  4 Cd 2.48-2.55
O 0.3333 0.6667 0.9126  4 Cd 2.21-2.32

15.
Material: Cd2SO5
Method: DFT, PBE
State: optimized geometry

Computed properties:
V: 210.6 Å³ per cell
E_tot: -5.01 eV/atom

a b c (Å): 6.4560 6.4560 7.0339
angles (deg): 109.16 109.16 50.43
Closest atoms and distances in Å follow each position.
Positions (direct):
Cd 0.0274 0.0274 0.2856  3 O 2.16-2.36
Cd 0.3491 0.3491 0.3552  5 O 2.17-2.38
Cd 0.6509 0.6509 0.6448  5 O 2.17-2.38
Cd 0.9726 0.9726 0.7144  3 O 2.16-2.36
S 0.3083 0.3083 0.8630  4 O 1.47-1.52
S 0.6917 0.6917 0.1370  4 O 1.47-1.52
O 0.0967 0.5403 0.7411  1 S 1.52
O 0.1878 0.1878 0.8855  1 S 1.47
O 0.2520 0.7480 0.5000  4 Cd 2.16-2.17
O 0.4068 0.4068 0.0652  1 S 1.47
O 0.4597 0.9033 0.2589  1 S 1.52
O 0.5403 0.0967 0.7411  1 S 1.52
O 0.5932 0.5932 0.9348  1 S 1.47
O 0.7480 0.2520 0.5000  4 Cd 2.16-2.17
O 0.8122 0.8122 0.1145  1 S 1.47
O 0.9033 0.4597 0.2589  1 S 1.52

16.
Material: CdSO4
Method: DFT, PBE
State: optimized geometry

Computed properties:
V: 143.7 Å³ per cell
E_tot: -5.48 eV/atom

a b c (Å): 4.6865 4.6560 8.0761
angles (deg): 90.00 125.36 90.00
Closest atoms and distances in Å follow each position.
Positions (direct):
Cd 0.0000 0.1609 0.0000  4 O 2.22-2.30
Cd 0.0000 0.8391 0.5000  4 O 2.22-2.30
S 0.4908 0.3307 0.5005  4 O 1.48-1.49
S 0.4908 0.6693 0.0005  4 O 1.48-1.49
O 0.1763 0.1919 0.3212  1 S 1.49
O 0.1763 0.8081 0.8212  1 S 1.49
O 0.4384 0.3554 0.0008  1 S 1.48
O 0.4384 0.6446 0.5008  1 S 1.48
O 0.5338 0.1912 0.6794  1 S 1.49
O 0.5338 0.8088 0.1794  1 S 1.49
O 0.8054 0.2934 0.5004  1 S 1.48
O 0.8054 0.7066 0.0004  1 S 1.48